Entry 1:
VASP calculation (meta-GGA SCAN) on SrTb2Fe2O7 at its PBEsol-relaxed geometry.

ΔE_f (raw) (eV per atom): -2.824
D(E_F) (states/eV/f.u.): 4.22
Electronic total energy (eV/cell): -918.3

abc: 5.3871 5.3871 19.1444
angles: 90.00 90.00 90.00
Space group P4_2/mnm (No. 136)
Unique sites:
Sr  0.2448  0.2448  0.0000 (multiplicity 4)
Tb  0.2284  0.2284  0.1810 (multiplicity 8)
Fe  0.2459  0.2459  0.4010 (multiplicity 8)
O  0.0000  0.0000  0.0924 (multiplicity 4)
O  0.0000  0.0000  0.3787 (multiplicity 4)
O  0.0000  0.5000  0.1068 (multiplicity 8)
O  0.1983  0.8017  0.2081 (multiplicity 8)
O  0.2214  0.2214  0.5000 (multiplicity 4)

=====

Entry 2:
VASP calculation (meta-GGA SCAN) on Sr3Fe2TeO9 at its PBEsol-relaxed geometry.

ΔE_f (raw) (eV per atom): -2.259
D(E_F) (states/eV/f.u.): 1.65
Electronic total energy (eV/cell): -230.3

abc: 5.5137 5.5137 6.7924
angles: 90.00 90.00 120.00
Space group P-3m1 (No. 164)
Unique sites:
Sr  0.0000  0.0000  0.0000 (multiplicity 1)
Sr  0.3333  0.6667  0.3241 (multiplicity 2)
Fe  0.3333  0.6667  0.8531 (multiplicity 2)
Te  0.0000  0.0000  0.5000 (multiplicity 1)
O  0.0000  0.5000  0.0000 (multiplicity 3)
O  0.1652  0.3303  0.6646 (multiplicity 6)

=====

Entry 3:
VASP calculation (meta-GGA SCAN) on Sr5Ti4FeO15 at its PBEsol-relaxed geometry.

ΔE_f (raw) (eV per atom): -3.224
D(E_F) (states/eV/f.u.): 0.11
Electronic total energy (eV/cell): -735.4

abc: 16.3955 5.4644 6.6951
angles: 90.00 105.79 90.00
Space group C2/m (No. 12)
Unique sites:
Sr  0.0000  0.0000  0.0000 (multiplicity 2)
Sr  0.0989  0.5000  0.4000 (multiplicity 4)
Sr  0.1988  0.0000  0.7983 (multiplicity 4)
Ti  0.0989  0.5000  0.8941 (multiplicity 4)
Ti  0.1984  0.0000  0.3000 (multiplicity 4)
Fe  0.0000  0.0000  0.5000 (multiplicity 2)
O  0.0000  0.5000  0.0000 (multiplicity 2)
O  0.0486  0.2442  0.6932 (multiplicity 8)
O  0.0969  0.0000  0.4021 (multiplicity 4)
O  0.1489  0.2507  0.0968 (multiplicity 8)
O  0.2007  0.5000  0.7980 (multiplicity 4)
O  0.2500  0.2500  0.5000 (multiplicity 4)

=====

Entry 4:
VASP calculation (meta-GGA SCAN) on Sr6Ti3FeO14 at its PBEsol-relaxed geometry.

ΔE_f (raw) (eV per atom): -3.170
D(E_F) (states/eV/f.u.): 0.67
Electronic total energy (eV/cell): -363.2

abc: 3.8786 3.8786 20.0900
angles: 90.00 90.00 90.00
Space group P4mm (No. 99)
Unique sites:
Sr  0.0000  0.0000  0.0000 (multiplicity 1)
Sr  0.0000  0.0000  0.1745 (multiplicity 1)
Sr  0.0000  0.0000  0.8132 (multiplicity 1)
Sr  0.5000  0.5000  0.3077 (multiplicity 1)
Sr  0.5000  0.5000  0.4942 (multiplicity 1)
Sr  0.5000  0.5000  0.6806 (multiplicity 1)
Ti  0.0000  0.0000  0.3954 (multiplicity 1)
Ti  0.0000  0.0000  0.5930 (multiplicity 1)
Ti  0.5000  0.5000  0.9003 (multiplicity 1)
Fe  0.5000  0.5000  0.0924 (multiplicity 1)
O  0.0000  0.0000  0.2983 (multiplicity 1)
O  0.0000  0.0000  0.4943 (multiplicity 1)
O  0.0000  0.0000  0.6905 (multiplicity 1)
O  0.0000  0.5000  0.0909 (multiplicity 2)
O  0.0000  0.5000  0.3970 (multiplicity 2)
O  0.0000  0.5000  0.5915 (multiplicity 2)
O  0.0000  0.5000  0.9017 (multiplicity 2)
O  0.5000  0.5000  0.1852 (multiplicity 1)
O  0.5000  0.5000  0.8034 (multiplicity 1)
O  0.5000  0.5000  0.9993 (multiplicity 1)

=====

Entry 5:
VASP calculation (meta-GGA SCAN) on Sr3TlFe2O8 at its PBEsol-relaxed geometry.

ΔE_f (raw) (eV per atom): -2.176
D(E_F) (states/eV/f.u.): 3.24
Electronic total energy (eV/cell): -255.8

abc: 3.7543 12.4183 3.7604
angles: 90.00 90.00 90.00
Space group Pmm2 (No. 25)
Unique sites:
Sr  0.0000  0.0000  0.0000 (multiplicity 1)
Sr  0.0000  0.2990  0.0024 (multiplicity 2)
Tl  0.5000  0.5000  0.5525 (multiplicity 1)
Fe  0.5000  0.1531  0.5001 (multiplicity 2)
O  0.0000  0.1558  0.5014 (multiplicity 2)
O  0.0000  0.5000  0.9332 (multiplicity 1)
O  0.5000  0.0000  0.4999 (multiplicity 1)
O  0.5000  0.1559  0.0001 (multiplicity 2)
O  0.5000  0.3208  0.4939 (multiplicity 2)

=====

Entry 6:
VASP calculation (meta-GGA SCAN) on TaTiFeO6 at its PBEsol-relaxed geometry.

ΔE_f (raw) (eV per atom): -2.749
Electronic total energy (eV/cell): -325.7

abc: 4.6519 4.6519 8.9892
angles: 90.00 90.00 90.00
Space group P4_2nm (No. 102)
Unique sites:
Ta  0.0000  0.0000  0.0000 (multiplicity 2)
Ti  0.0000  0.0000  0.6663 (multiplicity 2)
Fe  0.0000  0.0000  0.3342 (multiplicity 2)
O  0.1946  0.1946  0.8311 (multiplicity 4)
O  0.1972  0.1972  0.5028 (multiplicity 4)
O  0.2013  0.2013  0.1632 (multiplicity 4)

=====

Entry 7:
VASP calculation (meta-GGA SCAN) on Ta2Zn2FeO8 at its PBEsol-relaxed geometry.

ΔE_f (raw) (eV per atom): -2.351
D(E_F) (states/eV/f.u.): 0.02
Electronic total energy (eV/cell): -1034.9

abc: 19.0321 5.8755 5.1981
angles: 90.00 90.57 90.00
Space group C2/c (No. 15)
Unique sites:
Ta  0.1145  0.1552  0.2580 (multiplicity 8)
Zn  0.2195  0.3467  0.7647 (multiplicity 8)
Fe  0.0000  0.3742  0.7500 (multiplicity 4)
O  0.0591  0.3741  0.4126 (multiplicity 8)
O  0.0682  0.1188  0.9188 (multiplicity 8)
O  0.1788  0.0996  0.5628 (multiplicity 8)
O  0.1931  0.3533  0.1352 (multiplicity 8)

=====

Entry 8:
VASP calculation (meta-GGA SCAN) on ZrTaFe2O at its PBEsol-relaxed geometry.

ΔE_f (raw) (eV per atom): 1.532
D(E_F) (states/eV/f.u.): 4.57
Electronic total energy (eV/cell): -132.1

abc: 4.2863 4.2863 5.3436
angles: 90.00 90.00 90.00
Space group P4/mmm (No. 123)
Unique sites:
Zr  0.0000  0.0000  0.0000 (multiplicity 1)
Ta  0.0000  0.0000  0.5000 (multiplicity 1)
Fe  0.0000  0.5000  0.5000 (multiplicity 2)
O  0.5000  0.5000  0.0000 (multiplicity 1)